PrLu2Se | PBE | optimized geometry

Calculated values
As for the density of states at the Fermi level: 5.0 states/eV per cell. The symmetry is R-3m. The value obtained for the uncorrected formation energy is -0.53 eV per atom. The calculation puts the total magnetization at 0.0002 μB/atom.

```
PrLu2Se
1.0
1.821 1.051 10.425
-1.821 1.051 10.425
0.000 -2.102 10.425
Pr Lu Se
1 2 1
direct
0.000 0.000 0.000
0.109 0.109 0.109
0.891 0.891 0.891
0.500 0.500 0.500
```

=====

PrLuSi | PBE | optimized geometry

Calculated values
As for the density of states at the Fermi level: 2.1 states/eV per cell. The symmetry is F-43m. The value obtained for the uncorrected formation energy is -0.41 eV per atom. The calculation puts the total magnetization at 0.0000 μB/atom.

```
PrLuSi
1.0
0.000 3.467 3.467
3.467 0.000 3.467
3.467 3.467 0.000
Pr Lu Si
1 1 1
direct
0.000 0.000 0.000
0.500 0.500 0.500
0.750 0.750 0.750
```

=====

PrLuSi | PBE | optimized geometry

Calculated values
As for the density of states at the Fermi level: 1.2 states/eV per cell. The symmetry is P3m1. The value obtained for the uncorrected formation energy is -0.34 eV per atom. The calculation puts the total magnetization at 0.0000 μB/atom.

```
PrLuSi
1.0
4.703 0.000 0.000
-2.351 4.073 0.000
0.000 0.000 4.246
Pr Lu Si
1 1 1
direct
0.000 0.000 0.000
0.667 0.333 0.482
0.333 0.667 0.582
```

=====

PrLuZnSi | PBE | optimized geometry

Calculated values
As for the density of states at the Fermi level: 1.3 states/eV per cell. The symmetry is F-43m. The value obtained for the uncorrected formation energy is -0.41 eV per atom. The calculation puts the total magnetization at 0.0000 μB/atom.

```
PrLuZnSi
1.0
0.000 3.561 3.561
3.561 0.000 3.561
3.561 3.561 0.000
Pr Lu Zn Si
1 1 1 1
direct
0.000 0.000 0.000
0.500 0.500 0.500
0.250 0.250 0.250
0.750 0.750 0.750
```